No. 1
The following is a GGA-PBE calculation of a relaxed Tc2SbSe crystal, from Alexandria.

Output
Mass density in kg/m³: 6988
E_tot in eV per atom: -6.52
Energy above the lowest structure with this stoichiometry in meV/atom: 564
ΔE_f (raw) in eV/atom: 0.562

```
Tc2SbSe
1.0
-2.969 2.969 5.347
2.969 -2.969 5.347
2.969 2.969 -5.347
Tc Sb Se
4 2 2
direct
0.094 0.625 0.969 Tc
0.375 0.344 0.469 Tc
0.656 0.125 0.031 Tc
0.875 0.906 0.531 Tc
0.250 0.750 0.500 Sb
0.500 0.500 0.000 Sb
0.000 0.000 0.000 Se
0.750 0.250 0.500 Se
```

***

No. 2
The following is a GGA-PBE calculation of a relaxed Tc2SbSe crystal, from Alexandria.

Output
Mass density in kg/m³: 9333
E_tot in eV per atom: -6.35
Energy above the lowest structure with this stoichiometry in meV/atom: 738
ΔE_f (raw) in eV/atom: 0.736

```
Tc2SbSe
1.0
0.000 3.280 3.280
3.280 0.000 3.280
3.280 3.280 0.000
Tc Sb Se
2 1 1
direct
0.000 0.000 0.000 Tc
0.250 0.250 0.250 Tc
0.500 0.500 0.500 Sb
0.750 0.750 0.750 Se
```

***

No. 3
The following is a GGA-PBE calculation of a relaxed Tc2SbSe crystal, from Alexandria.

Output
Mass density in kg/m³: 8922
E_tot in eV per atom: -6.81
Energy above the lowest structure with this stoichiometry in meV/atom: 272
ΔE_f (raw) in eV/atom: 0.270

```
Tc2SbSe
1.0
3.219 0.000 0.000
0.000 3.390 0.000
0.000 0.000 6.765
Tc Sb Se
2 1 1
direct
0.000 0.000 0.220 Tc
0.000 0.000 0.780 Tc
0.500 0.500 0.000 Sb
0.500 0.000 0.500 Se
```